Computed, not measured: an optimized crystal structure of Pr2P4Ir3Rh at the PBE level of DFT.

a = 4.2104 Å, b = 4.2104 Å, c = 9.5909 Å
α = 90.00°, β = 90.00°, γ = 90.00°
Element x y z (fractional)
Pr (0.5000, 0.0000, 0.2419)
Pr (0.0000, 0.5000, 0.7581)
P (0.5000, 0.5000, 0.0000)
P (0.0000, 0.0000, 0.0000)
P (0.5000, 0.0000, 0.6383)
P (0.0000, 0.5000, 0.3617)
Ir (0.0000, 0.0000, 0.5000)
Ir (0.5000, 0.0000, 0.8883)
Ir (0.0000, 0.5000, 0.1117)
Rh (0.5000, 0.5000, 0.5000)

* M_tot: 0.00 μB per formula unit
* mass density: 10.60 g cm⁻³
* DFT formation energy: -1.029 eV per atom

***

Computed, not measured: an optimized crystal structure of CaZrCu at the PBE level of DFT.

a = 8.8560 Å, b = 3.3686 Å, c = 11.4370 Å
α = 90.00°, β = 123.51°, γ = 90.00°
Element x y z (fractional)
Ca (0.4623, 0.0000, 0.7654)
Ca (0.4623, 0.5000, 0.2654)
Ca (0.7621, 0.0000, 0.1637)
Ca (0.7621, 0.5000, 0.6637)
Cu (0.1564, 0.0000, 0.2202)
Cu (0.1564, 0.5000, 0.7202)
Cu (0.4384, 0.0000, 0.4776)
Cu (0.4384, 0.5000, 0.9776)
Zr (0.9501, 0.0000, 0.5079)
Zr (0.9501, 0.5000, 0.0079)
Zr (0.1609, 0.0000, 0.9209)
Zr (0.1609, 0.5000, 0.4209)

* M_tot: 0.00 μB per formula unit
* mass density: 4.55 g cm⁻³
* DFT formation energy: 0.082 eV per atom

***

Computed, not measured: an optimized crystal structure of ScCuBr2 at the PBE level of DFT.

a = 3.4825 Å, b = 3.4807 Å, c = 6.5941 Å
α = 90.00°, β = 90.00°, γ = 90.00°
Element x y z (fractional)
Br (0.0000, 0.0000, 0.9879)
Br (0.0000, 0.0000, 0.5121)
Cu (0.5000, 0.5000, 0.2500)
Sc (0.5000, 0.5000, 0.7500)

* M_tot: 0.00 μB per formula unit
* uncorrected formation energy: -0.430 eV per atom
* mass density: 5.57 g cm⁻³

***

Computed, not measured: an optimized crystal structure of RbInAsI2 at the PBE level of DFT.

a = 6.2116 Å, b = 7.4183 Å, c = 6.2116 Å
α = 90.00°, β = 90.00°, γ = 90.00°
Element x y z (fractional)
I (0.0000, 0.0000, 0.5000)
I (0.5000, 0.0000, 0.0000)
As (0.5000, 0.5000, 0.5000)
Rb (0.0000, 0.5000, 0.0000)
In (0.0000, 0.0000, 0.0000)

* M_tot: 2.75 μB per formula unit
* uncorrected formation energy: 0.109 eV per atom
* mass density: 3.07 g cm⁻³

***

Computed, not measured: an optimized crystal structure of TcNiB at the PBE level of DFT.

a = 3.0040 Å, b = 2.9509 Å, c = 7.3764 Å
α = 90.00°, β = 90.00°, γ = 90.00°
Element x y z (fractional)
Ni (0.0000, 0.0000, 0.3335)
Ni (0.0000, 0.5000, 0.8335)
B (0.0000, 0.0000, 0.0309)
B (0.0000, 0.5000, 0.5309)
Tc (0.5000, 0.0000, 0.6185)
Tc (0.5000, 0.5000, 0.1185)

* M_tot: 0.00 μB per formula unit
* mass density: 8.51 g cm⁻³
* DFT formation energy: -0.061 eV per atom

***

Computed, not measured: an optimized crystal structure of RbMnSe2N at the PBE level of DFT.

a = 5.5072 Å, b = 5.5072 Å, c = 3.5236 Å
α = 90.00°, β = 90.00°, γ = 90.00°
Element x y z (fractional)
Mn (0.0000, 0.0000, 0.0000)
Se (0.0000, 0.5000, 0.0000)
Se (0.5000, 0.0000, 0.0000)
Rb (0.5000, 0.5000, 0.5000)
N (0.0000, 0.0000, 0.5000)

* M_tot: 1.71 μB per formula unit
* uncorrected formation energy: -0.070 eV per atom
* mass density: 4.85 g cm⁻³

***

- Among the records above, which one has the highest mass density?
  Pr2P4Ir3Rh

***

- What is the formula in the second record?
  CaZrCu

***

- Look up the M_tot of the second one.
  0.00 μB per formula unit

***

Copy entry 4 word for word.
Computed, not measured: an optimized crystal structure of RbInAsI2 at the PBE level of DFT.

a = 6.2116 Å, b = 7.4183 Å, c = 6.2116 Å
α = 90.00°, β = 90.00°, γ = 90.00°
Element x y z (fractional)
I (0.0000, 0.0000, 0.5000)
I (0.5000, 0.0000, 0.0000)
As (0.5000, 0.5000, 0.5000)
Rb (0.0000, 0.5000, 0.0000)
In (0.0000, 0.0000, 0.0000)

* M_tot: 2.75 μB per formula unit
* uncorrected formation energy: 0.109 eV per atom
* mass density: 3.07 g cm⁻³